[1]
First-principles (PBE-GGA) data for Nd9Sm2Y after structural relaxation, as listed in the Alexandria database.

Lattice parameters (Å, degrees): 5.1817 5.1817 15.5344 90.00 90.00 90.00
Element x y z (fractional)
Nd1 0.0000 0.0000 0.0000
Nd2 0.0000 0.0000 0.3329
Nd3 0.0000 0.0000 0.6671
Nd4 0.0000 0.5000 0.1662
Nd5 0.0000 0.5000 0.5000
Nd6 0.0000 0.5000 0.8338
Nd7 0.5000 0.0000 0.1662
Nd8 0.5000 0.0000 0.5000
Nd9 0.5000 0.0000 0.8338
Sm1 0.5000 0.5000 0.3326
Sm2 0.5000 0.5000 0.6674
Y1 0.5000 0.5000 0.0000

N(E_F) = 20.2 states/eV per cell
Size of the total moment = 0.00 μB per atom
Symmetry = P4/mmm, No. 123
Formation energy from the elements = 0.014 eV per atom

***

[2]
First-principles (PBE-GGA) data for Tl5PdAu2 after structural relaxation, as listed in the Alexandria database.

Lattice parameters (Å, degrees): 5.6663 5.6663 20.4293 90.00 90.00 142.69
Element x y z (fractional)
Tl1 0.0237 0.9763 0.7500
Tl2 0.1350 0.8650 0.5401
Tl3 0.1350 0.8650 0.9599
Tl4 0.4067 0.5933 0.6169
Tl5 0.4067 0.5933 0.8831
Tl6 0.5933 0.4067 0.1169
Tl7 0.5933 0.4067 0.3831
Tl8 0.8650 0.1350 0.0401
Tl9 0.8650 0.1350 0.4599
Tl10 0.9763 0.0237 0.2500
Pd1 0.3068 0.6932 0.7500
Pd2 0.6932 0.3068 0.2500
Au1 0.3131 0.6869 0.1614
Au2 0.3131 0.6869 0.3386
Au3 0.6869 0.3131 0.6614
Au4 0.6869 0.3131 0.8386

N(E_F) = 6.8 states/eV per cell
Size of the total moment = 0.00 μB per atom
Symmetry = Cmcm, No. 63
Formation energy from the elements = -0.027 eV per atom

***

[3]
First-principles (PBE-GGA) data for NpCuGe2Rh after structural relaxation, as listed in the Alexandria database.

Lattice parameters (Å, degrees): 5.9969 5.9969 5.9969 140.14 140.14 57.64
Element x y z (fractional)
Np1 0.0000 0.0000 0.0000
Cu1 0.7500 0.2500 0.5000
Ge1 0.3816 0.3816 0.0000
Ge2 0.6184 0.6184 0.0000
Rh1 0.2500 0.7500 0.5000

N(E_F) = 11.8 states/eV per cell
Size of the total moment = 0.78 μB per atom
Symmetry = I-4m2, No. 119
Formation energy from the elements = -0.301 eV per atom

***

[4]
First-principles (PBE-GGA) data for Tc3TePt after structural relaxation, as listed in the Alexandria database.

Lattice parameters (Å, degrees): 4.8024 4.8024 4.8024 90.00 90.00 90.00
Element x y z (fractional)
Tc1 0.0000 0.0000 0.5000
Tc2 0.0000 0.5000 0.0000
Tc3 0.5000 0.0000 0.0000
Te1 0.5000 0.5000 0.5000
Pt1 0.0000 0.0000 0.0000

N(E_F) = 9.0 states/eV per cell
Size of the total moment = 0.59 μB per atom
Formation energy (no corrections) = 1.7651 eV per atom
Symmetry = Pm-3m, No. 221
ΔE to the lowest computed polymorph = 0 meV/atom

***

[5]
First-principles (PBE-GGA) data for MnMo2Os after structural relaxation, as listed in the Alexandria database.

Lattice parameters (Å, degrees): 2.8413 2.8413 7.1974 90.00 90.00 90.00
Element x y z (fractional)
Mn1 0.0000 0.0000 0.0000
Mo1 0.5000 0.5000 0.2386
Mo2 0.5000 0.5000 0.7614
Os1 0.0000 0.0000 0.5000

N(E_F) = 4.0 states/eV per cell
Size of the total moment = 0.46 μB per atom
Symmetry = P4/mmm, No. 123
ΔE to the lowest computed polymorph = 71 meV/atom
Formation energy from the elements = 0.162 eV per atom

***

[6]
First-principles (PBE-GGA) data for AcPrAu3 after structural relaxation, as listed in the Alexandria database.

Lattice parameters (Å, degrees): 14.5084 14.5084 4.7469 90.00 90.00 164.32
Element x y z (fractional)
Ac1 0.0732 0.9268 0.7500
Ac2 0.9268 0.0732 0.2500
Pr1 0.2050 0.7950 0.2500
Pr2 0.7950 0.2050 0.7500
Au1 0.3160 0.6840 0.2500
Au2 0.3776 0.6224 0.7500
Au3 0.4748 0.5252 0.7500
Au4 0.5252 0.4748 0.2500
Au5 0.6224 0.3776 0.2500
Au6 0.6840 0.3160 0.7500

N(E_F) = 7.0 states/eV per cell
Size of the total moment = 0.00 μB per atom
Symmetry = Cmcm, No. 63
Formation energy from the elements = -0.816 eV per atom

***

[7]
First-principles (PBE-GGA) data for CaTb2Ni9 after structural relaxation, as listed in the Alexandria database.

Lattice parameters (Å, degrees): 8.5753 8.5753 8.5753 33.89 33.89 33.89
Element x y z (fractional)
Ca1 0.0000 0.0000 0.0000
Tb1 0.1381 0.1381 0.1381
Tb2 0.8619 0.8619 0.8619
Ni1 0.0811 0.5826 0.5826
Ni2 0.3327 0.3327 0.3327
Ni3 0.4174 0.4174 0.9189
Ni4 0.4174 0.9189 0.4174
Ni5 0.5000 0.5000 0.5000
Ni6 0.5826 0.0811 0.5826
Ni7 0.5826 0.5826 0.0811
Ni8 0.6673 0.6673 0.6673
Ni9 0.9189 0.4174 0.4174

N(E_F) = 12.7 states/eV per cell
Size of the total moment = 0.15 μB per atom
Symmetry = R-3m, No. 166
Formation energy from the elements = -0.313 eV per atom

***

[8]
First-principles (PBE-GGA) data for TlHg3Pb6 after structural relaxation, as listed in the Alexandria database.

Lattice parameters (Å, degrees): 13.1140 3.5090 13.3099 90.00 101.60 90.00
Element x y z (fractional)
Tl1 0.2251 0.2500 0.0430
Tl2 0.7749 0.7500 0.9570
Hg1 0.0148 0.2500 0.6464
Hg2 0.3990 0.2500 0.4180
Hg3 0.4071 0.7500 0.9393
Hg4 0.5929 0.2500 0.0607
Hg5 0.6010 0.7500 0.5820
Hg6 0.9852 0.7500 0.3536
Pb1 0.0161 0.7500 0.8835
Pb2 0.1729 0.2500 0.4945
Pb3 0.1987 0.7500 0.2650
Pb4 0.2314 0.2500 0.7870
Pb5 0.3747 0.7500 0.6403
Pb6 0.4366 0.7500 0.1901
Pb7 0.5634 0.2500 0.8099
Pb8 0.6253 0.2500 0.3597
Pb9 0.7686 0.7500 0.2130
Pb10 0.8013 0.2500 0.7350
Pb11 0.8271 0.7500 0.5055
Pb12 0.9839 0.2500 0.1165

N(E_F) = 9.2 states/eV per cell
Size of the total moment = 0.00 μB per atom
Symmetry = P2_1/m, No. 11
ΔE to the lowest computed polymorph = 0 meV/atom
Formation energy from the elements = 0.030 eV per atom